Record 1
DFT (PBE-GGA) results for a geometry-optimized Nd5ThSb4 structure.

Structure (POSCAR):
```
Nd5ThSb4
1.0
4.440 0.000 0.000
0.000 8.741 -0.607
-2.220 -1.885 9.453
Nd Th Sb
5 1 4
direct
0.824 0.653 0.648 Nd
0.837 0.172 0.674 Nd
0.163 0.828 0.326 Nd
0.500 0.500 0.000 Nd
0.176 0.347 0.352 Nd
0.500 0.000 0.000 Th
0.330 0.911 0.660 Sb
0.992 0.743 0.985 Sb
0.670 0.089 0.340 Sb
0.008 0.257 0.015 Sb
```

Summary:
**Final energy**: -0.406 Ry per atom
**Raw formation energy**: -723 kJ/mol of formula units

=====

Record 2
DFT (PBE-GGA) results for a geometry-optimized TmScOs4 structure.

Structure (POSCAR):
```
TmScOs4
1.0
-1.263 4.423 -2.585
-4.598 2.400 0.969
-0.079 4.617 2.554
Sc Tm Os
1 1 4
direct
0.000 0.000 0.000 Sc
0.250 0.250 0.250 Tm
0.625 0.625 0.124 Os
0.625 0.124 0.625 Os
0.625 0.625 0.625 Os
0.124 0.625 0.625 Os
```

Summary:
**Final energy**: -0.706 Ry per atom
**E_form**: -0.317 eV per atom

=====

Record 3
DFT (PBE-GGA) results for a geometry-optimized TaMn3Os structure.

Structure (POSCAR):
```
TaMn3Os
1.0
4.353 0.000 0.000
0.000 4.353 0.000
0.000 0.000 4.353
Mn Os Ta
3 1 1
direct
0.000 0.500 0.000 Mn
0.000 0.000 0.500 Mn
0.500 0.000 0.000 Mn
0.500 0.500 0.500 Os
0.000 0.000 0.000 Ta
```

Summary:
**Final energy**: -0.585 Ry per atom
**E_form**: 2.160 eV per atom

=====

Record 4
DFT (PBE-GGA) results for a geometry-optimized LiTiSiO4 structure.

Structure (POSCAR):
```
LiTiSiO4
1.0
5.726 0.007 0.005
-0.024 5.726 -0.005
-2.786 -2.931 4.054
Li Ti Si O
2 2 2 8
direct
0.500 0.500 0.000 Li
0.000 0.500 0.500 Li
0.000 0.500 0.000 Ti
0.000 0.000 0.500 Ti
0.634 0.884 0.750 Si
0.366 0.116 0.250 Si
0.246 0.233 0.487 O
0.246 0.759 0.013 O
0.721 0.237 0.484 O
0.253 0.237 0.016 O
0.279 0.763 0.516 O
0.747 0.763 0.984 O
0.754 0.241 0.987 O
0.754 0.767 0.513 O
```

Summary:
**Final energy**: -0.563 Ry per atom
**Raw formation energy**: -1789 kJ/mol of formula units

=====

Record 5
DFT (PBE-GGA) results for a geometry-optimized Lu2CdCu structure.

Structure (POSCAR):
```
Lu2CdCu
1.0
-2.154 -1.960 1.949
1.274 -2.684 1.859
1.218 4.619 9.139
Lu Cu Cd
2 1 1
direct
0.104 0.104 0.688 Lu
0.896 0.896 0.312 Lu
0.500 0.500 0.500 Cu
0.000 0.000 0.000 Cd
```

Summary:
**Final energy**: -0.244 Ry per atom
**E_form**: 0.191 eV per atom

=====

Record 6
DFT (PBE-GGA) results for a geometry-optimized CsTaSeN2 structure.

Structure (POSCAR):
```
CsTaSeN2
1.0
-2.872 -2.864 0.988
3.029 -2.743 0.853
0.093 1.912 5.815
Cs N Se Ta
1 2 1 1
direct
0.000 0.000 0.000 Cs
0.000 0.500 0.000 N
0.500 0.000 0.000 N
0.000 0.000 0.500 Se
0.500 0.500 0.500 Ta
```

Summary:
**Final energy**: -0.280 Ry per atom
**Raw formation energy**: 1333 kJ/mol of formula units

=====

Record 7
DFT (PBE-GGA) results for a geometry-optimized CeSc2ZnAu4 structure.

Structure (POSCAR):
```
CeSc2ZnAu4
1.0
-4.031 -1.967 1.491
0.080 -3.222 3.457
-2.211 4.566 7.538
Ce Sc Zn Au
1 2 1 4
direct
0.000 0.000 0.000 Ce
0.765 0.765 0.704 Sc
0.235 0.235 0.296 Sc
0.500 0.500 0.500 Zn
0.395 0.395 0.814 Au
0.878 0.878 0.367 Au
0.122 0.122 0.633 Au
0.605 0.605 0.186 Au
```

Summary:
**Final energy**: -0.349 Ry per atom
**E_form**: -0.620 eV per atom

=====

Record 8
DFT (PBE-GGA) results for a geometry-optimized CuIr2Se structure.

Structure (POSCAR):
```
CuIr2Se
1.0
-0.597 0.043 -4.691
-2.057 -2.227 -3.629
-4.113 2.336 -0.658
Cu Ir Se
1 2 1
direct
0.248 0.248 0.246 Cu
0.006 0.006 0.020 Ir
0.762 0.762 0.759 Ir
0.484 0.484 0.475 Se
```

Summary:
**Final energy**: -0.437 Ry per atom
**Raw formation energy**: 149 kJ/mol of formula units

=====

Record 9
DFT (PBE-GGA) results for a geometry-optimized Cd6GaAu12 structure.

Structure (POSCAR):
```
Cd6GaAu12
1.0
-3.212 -5.093 4.347
-2.773 -4.088 -5.546
5.615 -4.854 -0.244
Cd Ga Au
6 1 12
direct
0.734 0.810 0.430 Cd
0.570 0.266 0.190 Cd
0.190 0.570 0.266 Cd
0.266 0.190 0.570 Cd
0.430 0.734 0.810 Cd
0.810 0.430 0.734 Cd
0.000 0.000 0.000 Ga
0.838 0.457 0.338 Au
0.338 0.838 0.457 Au
0.457 0.338 0.838 Au
0.162 0.543 0.662 Au
0.662 0.162 0.543 Au
0.543 0.662 0.162 Au
0.003 0.090 0.328 Au
0.910 0.672 0.997 Au
0.672 0.997 0.910 Au
0.997 0.910 0.672 Au
0.090 0.328 0.003 Au
0.328 0.003 0.090 Au
```

Summary:
**Final energy**: -0.190 Ry per atom
**E_form**: -0.068 eV per atom

=====

Record 10
DFT (PBE-GGA) results for a geometry-optimized PrZnCdPd structure.

Structure (POSCAR):
```
PrZnCdPd
1.0
4.943 0.000 0.000
2.472 4.281 0.000
2.472 1.427 4.036
Pr Zn Pd Cd
1 1 1 1
direct
0.250 0.250 0.250 Pr
0.000 0.000 0.000 Zn
0.500 0.500 0.500 Pd
0.750 0.750 0.750 Cd
```

Summary:
**Final energy**: -0.256 Ry per atom
**E_form**: -0.446 eV per atom

=====

Record 11
DFT (PBE-GGA) results for a geometry-optimized InTc2SeI structure.

Structure (POSCAR):
```
InTc2SeI
1.0
-4.027 -3.629 -0.529
1.412 -2.202 4.358
-3.341 3.306 2.753
I Tc Se In
1 2 1 1
direct
0.500 0.500 0.500 I
0.000 0.000 0.500 Tc
0.500 0.000 0.000 Tc
0.000 0.500 0.000 Se
0.000 0.000 0.000 In
```

Summary:
**Final energy**: -0.300 Ry per atom
**Raw formation energy**: 778 kJ/mol of formula units

=====

Record 12
DFT (PBE-GGA) results for a geometry-optimized SrReNi4 structure.

Structure (POSCAR):
```
SrReNi4
1.0
0.000 3.528 3.528
3.528 0.000 3.528
3.528 3.528 0.000
Sr Re Ni
1 1 4
direct
0.000 0.000 0.000 Sr
0.750 0.750 0.750 Re
0.871 0.376 0.376 Ni
0.376 0.376 0.871 Ni
0.376 0.871 0.376 Ni
0.376 0.376 0.376 Ni
```

Summary:
**Final energy**: -0.423 Ry per atom
**E_form**: 0.451 eV per atom

=====

Record 13
DFT (PBE-GGA) results for a geometry-optimized PmThRhBr structure.

Structure (POSCAR):
```
PmThRhBr
1.0
-0.605 3.491 2.136
-0.101 -3.653 1.937
8.245 -0.597 -0.695
Pm Th Rh Br
1 1 1 1
direct
0.507 0.151 0.674 Pm
0.093 0.944 0.053 Th
0.310 0.553 0.878 Rh
0.968 0.382 0.365 Br
```

Summary:
**Final energy**: -0.463 Ry per atom
**Raw formation energy**: -387 kJ/mol of formula units

=====

Record 14
DFT (PBE-GGA) results for a geometry-optimized YUCdO6 structure.

Structure (POSCAR):
```
YUCdO6
1.0
4.607 0.000 0.000
0.000 5.828 0.000
0.000 -2.914 5.047
Y U Cd O
1 1 1 6
direct
0.500 0.667 0.333 Y
0.500 0.000 0.000 U
0.000 0.333 0.667 Cd
0.731 0.696 0.692 O
0.731 0.308 0.004 O
0.731 0.996 0.304 O
0.269 0.308 0.304 O
0.269 0.696 0.004 O
0.269 0.996 0.692 O
```

Summary:
**Final energy**: -0.575 Ry per atom
**Raw formation energy**: -2120 kJ/mol of formula units

=====

Record 15
DFT (PBE-GGA) results for a geometry-optimized CsLiTl2Pd structure.

Structure (POSCAR):
```
CsLiTl2Pd
1.0
-2.189 3.926 -3.029
-4.927 -2.096 0.845
-0.562 3.109 4.436
Cs Tl Pd Li
1 2 1 1
direct
0.500 0.500 0.500 Cs
0.000 0.500 0.000 Tl
0.500 0.000 0.000 Tl
0.000 0.000 0.000 Pd
0.000 0.000 0.500 Li
```

Summary:
**Final energy**: -0.195 Ry per atom
**E_form**: -0.113 eV per atom

=====

Record 16
DFT (PBE-GGA) results for a geometry-optimized Pu2Sb3 structure.

Structure (POSCAR):
```
Pu2Sb3
1.0
-2.973 3.117 -0.061
-0.378 -0.576 -11.116
-8.598 -8.189 0.716
Pu Sb
8 12
direct
0.250 0.250 0.500 Pu
0.250 0.250 0.000 Pu
0.750 0.750 0.500 Pu
0.750 0.750 0.000 Pu
0.750 0.443 0.750 Pu
0.750 0.057 0.250 Pu
0.250 0.557 0.250 Pu
0.250 0.943 0.750 Pu
0.250 0.560 0.576 Sb
0.250 0.940 0.076 Sb
0.750 0.440 0.424 Sb
0.750 0.060 0.924 Sb
0.750 0.060 0.576 Sb
0.750 0.440 0.076 Sb
0.250 0.940 0.424 Sb
0.250 0.560 0.924 Sb
0.250 0.230 0.750 Sb
0.250 0.270 0.250 Sb
0.750 0.770 0.250 Sb
0.750 0.730 0.750 Sb
```

Summary:
**Final energy**: -0.638 Ry per atom
**Raw formation energy**: -229 kJ/mol of formula units

=====

Record 17
DFT (PBE-GGA) results for a geometry-optimized BaPrCd2 structure.

Structure (POSCAR):
```
BaPrCd2
1.0
4.019 0.000 0.000
2.009 3.480 0.000
2.009 1.160 10.312
Pr Ba Cd
1 1 2
direct
0.000 0.000 0.000 Pr
0.500 0.500 0.500 Ba
0.744 0.744 0.769 Cd
0.256 0.256 0.231 Cd
```

Summary:
**Final energy**: -0.162 Ry per atom
**E_form**: -0.074 eV per atom

=====

Record 18
DFT (PBE-GGA) results for a geometry-optimized YAlZn structure.

Structure (POSCAR):
```
YAlZn
1.0
4.468 0.001 0.000
-2.235 5.257 -0.008
2.234 0.399 5.302
Y Zn Al
2 2 2
direct
0.988 0.187 0.926 Y
0.494 0.636 0.364 Y
0.202 0.036 0.348 Zn
0.280 0.786 0.941 Zn
0.779 0.616 0.773 Al
0.703 0.207 0.517 Al
```

Summary:
**Final energy**: -0.316 Ry per atom
**E_form**: -0.470 eV per atom

=====

Record 19
DFT (PBE-GGA) results for a geometry-optimized Pr8Y3 structure.

Structure (POSCAR):
```
Pr8Y3
1.0
-3.227 3.197 -5.832
-4.171 -5.800 -1.901
-6.104 2.191 3.549
Pr Y
8 3
direct
0.888 0.307 0.149 Pr
0.307 0.149 0.888 Pr
0.149 0.888 0.307 Pr
0.391 0.391 0.391 Pr
0.609 0.609 0.609 Pr
0.851 0.112 0.693 Pr
0.693 0.851 0.112 Pr
0.112 0.693 0.851 Pr
0.500 0.000 0.500 Y
0.000 0.500 0.500 Y
0.500 0.500 0.000 Y
```

Summary:
**Final energy**: -0.352 Ry per atom
**E_form**: 0.454 eV per atom

=====

Record 20
DFT (PBE-GGA) results for a geometry-optimized LiLaZr2N4 structure.

Structure (POSCAR):
```
LiLaZr2N4
1.0
-0.741 -0.428 -3.226
0.765 -5.214 2.242
-10.884 -0.494 2.566
Li La Zr N
2 2 4 8
direct
0.839 0.678 0.750 Li
0.161 0.322 0.250 Li
0.104 0.208 0.750 La
0.896 0.792 0.250 La
0.366 0.731 0.557 Zr
0.634 0.269 0.057 Zr
0.634 0.269 0.443 Zr
0.366 0.731 0.943 Zr
0.262 0.524 0.110 N
0.738 0.476 0.610 N
0.738 0.476 0.890 N
0.262 0.524 0.390 N
0.000 0.000 0.500 N
0.000 0.000 0.000 N
0.438 0.875 0.750 N
0.562 0.125 0.250 N
```

Summary:
**Final energy**: -0.631 Ry per atom
**Raw formation energy**: -1105 kJ/mol of formula units